Record 1
First-principles (PBE) data for an optimized crystal structure of RuPtAu, as listed in Alexandria via LeMat-Bulk.

Properties
E_form = 0.64 eV per atom
V = 18.962 A^3/atom
offset from the most stable computed form = 462 meV per atom
N(E_F) = 1.23 states/eV/atom
DFT total energy = -5.557 eV per atom
space group = F-43m

abc: 4.3169 4.3169 4.3169
angles: 60.00 60.00 60.00
Last column: nearest neighbours and their distance in Å.
Positions (direct):
Ru (0.0000, 0.0000, 0.0000)  4 Pt 2.64
Au (0.5000, 0.5000, 0.5000)  4 Pt 2.64
Pt (0.7500, 0.7500, 0.7500)  4 Au 2.64, 4 Ru 2.64

=====

Record 2
First-principles (PBE) data for an optimized crystal structure of AlAg2AuF6, as listed in Alexandria via LeMat-Bulk.

Properties
V = 14.479 A^3/atom
uncorrected formation energy = -1.943 eV per atom
DFT total energy = -4.338 eV per atom
space group = P-1

abc: 6.9421 5.5849 6.5943
angles: 49.21 48.53 62.21
Last column: nearest neighbours and their distance in Å.
Positions (direct):
Ag (0.9894, 0.1428, 0.8789)  4 F 2.33-2.51
Al (0.3162, 0.3161, 0.0515)  6 F 1.81-1.88
F (0.3178, 0.2643, 0.8059)  1 Al 1.81
F (0.6145, 0.0721, 0.9943)  1 Al 1.81
F (0.3146, 0.3680, 0.2972)  1 Al 1.82
F (0.1317, 0.9501, 0.4149)  1 Al 1.88, 1 Au 2.05
F (0.5006, 0.6823, 0.6881)  1 Al 1.88, 1 Au 2.05
F (0.0178, 0.5602, 0.1087)  1 Al 1.81
Au (0.8161, 0.8162, 0.5515)  2 F 2.05
Ag (0.6430, 0.4895, 0.2240)  4 F 2.33-2.51

=====

Record 3
First-principles (PBE) data for an optimized crystal structure of Zr8Rh, as listed in Alexandria via LeMat-Bulk.

Properties
E_form = -0.12 eV per atom
V = 21.720 A^3/atom
N(E_F) = 1.46 states/eV/atom
DFT total energy = -8.532 eV per atom
space group = I4/mmm

abc: 7.7889 7.7889 7.7889
angles: 92.70 92.70 154.93
Last column: nearest neighbours and their distance in Å.
Positions (direct):
Zr (0.3342, 0.0000, 0.3342)  10 Zr 3.04-3.38
Zr (0.3437, 0.3437, 0.6875)  2 Rh 2.92, 4 Zr 3.06
Zr (0.3437, 0.6563, 0.0000)  2 Rh 2.92, 4 Zr 3.06
Rh (0.0000, 0.0000, 0.0000)  8 Zr 2.92
Zr (0.6563, 0.3437, 0.0000)  2 Rh 2.92, 4 Zr 3.06
Zr (0.0000, 0.3342, 0.3342)  10 Zr 3.04-3.38
Zr (0.0000, 0.6658, 0.6658)  10 Zr 3.04-3.38
Zr (0.6658, 0.0000, 0.6658)  10 Zr 3.04-3.38
Zr (0.6563, 0.6563, 0.3125)  2 Rh 2.92, 4 Zr 3.06

=====

Record 4
First-principles (PBE) data for an optimized crystal structure of PrSmZnSi, as listed in Alexandria via LeMat-Bulk.

Properties
V = 24.070 A^3/atom
offset from the most stable computed form = 90 meV per atom
N(E_F) = 0.66 states/eV/atom
uncorrected formation energy = -0.428 eV per atom
DFT total energy = -4.477 eV per atom
space group = F-43m

abc: 5.1446 5.1446 5.1446
angles: 60.00 60.00 60.00
Last column: nearest neighbours and their distance in Å.
Positions (direct):
Si (0.7500, 0.7500, 0.7500)  4 Sm 3.15, 4 Pr 3.15
Sm (0.5000, 0.5000, 0.5000)  4 Si 3.15, 4 Zn 3.15
Pr (0.0000, 0.0000, 0.0000)  4 Si 3.15, 4 Zn 3.15
Zn (0.2500, 0.2500, 0.2500)  4 Pr 3.15, 4 Sm 3.15

=====

Record 5
First-principles (PBE) data for an optimized crystal structure of SmGaCo, as listed in Alexandria via LeMat-Bulk.

Properties
E_form = -0.34 eV per atom
V = 19.210 A^3/atom
N(E_F) = 0.80 states/eV/atom
DFT total energy = -5.287 eV per atom
space group = C2/m

abc: 3.9501 6.1967 6.2020
angles: 54.41 71.43 71.41
Last column: nearest neighbours and their distance in Å.
Positions (direct):
Co (0.1070, 0.3941, 0.3918)  1 Co 2.20
Ga (0.4998, 0.2686, 0.7317)  4 Co 2.61-2.62, 1 Ga 2.62
Ga (0.5002, 0.7314, 0.2683)  4 Co 2.61-2.62, 1 Ga 2.62
Sm (0.2009, 0.7993, 0.7989)  4 Co 2.80-3.00
Sm (0.7991, 0.2007, 0.2011)  4 Co 2.80-3.00
Co (0.8930, 0.6059, 0.6082)  1 Co 2.20

=====

Record 6
First-principles (PBE) data for an optimized crystal structure of Ac2ErSn4Ir3, as listed in Alexandria via LeMat-Bulk.

Properties
E_form = -0.61 eV per atom
V = 24.782 A^3/atom
N(E_F) = 0.53 states/eV/atom
DFT total energy = -6.144 eV per atom
space group = P-4m2

abc: 4.5342 4.5342 12.0542
angles: 90.00 90.00 90.00
Last column: nearest neighbours and their distance in Å.
Positions (direct):
Er (0.5000, 0.5000, 0.5000)  4 Sn 2.95, 4 Ir 3.21
Ac (0.5000, 0.0000, 0.2323)  4 Ir 3.46, 8 Sn 3.48-3.60
Sn (0.5000, 0.0000, 0.6563)  3 Ir 2.66-2.95, 2 Er 2.95
Sn (0.0000, 0.5000, 0.3437)  3 Ir 2.66-2.95, 2 Er 2.95
Ir (0.0000, 0.0000, 0.5000)  4 Sn 2.95, 4 Er 3.21
Sn (0.0000, 0.0000, 0.0000)  4 Ir 2.71
Ac (0.0000, 0.5000, 0.7677)  4 Ir 3.46, 8 Sn 3.48-3.60
Ir (0.5000, 0.0000, 0.8767)  5 Sn 2.66-2.71
Sn (0.5000, 0.5000, 0.0000)  4 Ir 2.71
Ir (0.0000, 0.5000, 0.1233)  5 Sn 2.66-2.71

=====

> Which value of V does entry 4 give?

24.070 A^3/atom

=====

Please write out number 6 again, unchanged.
First-principles (PBE) data for an optimized crystal structure of Ac2ErSn4Ir3, as listed in Alexandria via LeMat-Bulk.

Properties
E_form = -0.61 eV per atom
V = 24.782 A^3/atom
N(E_F) = 0.53 states/eV/atom
DFT total energy = -6.144 eV per atom
space group = P-4m2

abc: 4.5342 4.5342 12.0542
angles: 90.00 90.00 90.00
Last column: nearest neighbours and their distance in Å.
Positions (direct):
Er (0.5000, 0.5000, 0.5000)  4 Sn 2.95, 4 Ir 3.21
Ac (0.5000, 0.0000, 0.2323)  4 Ir 3.46, 8 Sn 3.48-3.60
Sn (0.5000, 0.0000, 0.6563)  3 Ir 2.66-2.95, 2 Er 2.95
Sn (0.0000, 0.5000, 0.3437)  3 Ir 2.66-2.95, 2 Er 2.95
Ir (0.0000, 0.0000, 0.5000)  4 Sn 2.95, 4 Er 3.21
Sn (0.0000, 0.0000, 0.0000)  4 Ir 2.71
Ac (0.0000, 0.5000, 0.7677)  4 Ir 3.46, 8 Sn 3.48-3.60
Ir (0.5000, 0.0000, 0.8767)  5 Sn 2.66-2.71
Sn (0.5000, 0.5000, 0.0000)  4 Ir 2.71
Ir (0.0000, 0.5000, 0.1233)  5 Sn 2.66-2.71